Computed, not measured: a relaxed TiMnFe2O6 crystal at the PBE+U level of DFT.

Summary:
Its calculated total energy is -73.98 eV per cell.

The structure in POSCAR format:
```
TiMnFe2O6
1.0
5.030 0.054 0.007
2.561 4.494 0.113
2.535 1.633 4.707
O Ti Mn Fe
6 1 1 2
direct
0.716 0.126 0.763 O
0.205 0.932 0.252 O
0.412 0.731 0.768 O
0.094 0.412 0.763 O
0.955 0.605 0.215 O
0.612 0.191 0.251 O
0.318 0.319 0.045 Ti
0.807 0.814 0.564 Mn
0.013 0.015 0.962 Fe
0.531 0.517 0.432 Fe
```